## LaMo2Br (PBE)

Data for LaMo2Br after structural relaxation.

```
LaMo2Br
1.0
-0.9587 1.7468 -2.6518
-3.0832 -1.1749 0.3407
-1.9092 6.4409 4.9328
Br Mo La
1 2 1
direct
0.0000 0.0000 0.5103 Br
0.5000 0.5000 0.1825 Mo
0.0000 0.0000 0.0379 Mo
0.5000 0.5000 0.7693 La
```

Output
electronic total energy = -7.03 eV per atom
SG = P4mm, No. 99
energy relative to the lowest polymorph listed for this composition = 61 meV/atom